No. 1
VASP calculation (GGA-PBE) on a relaxed La5Si2I crystal.

Computed properties:
space group = I4/mcm (140)
N(E_F) = 18.65 states/eV/cell
size of the total moment = 0.00 Bohr magnetons per cell
formation energy without anion corrections = -0.644 eV/atom
energy = -0.388 Ry per atom

Cell lengths 9.2316, 9.2316, 9.2316 Å; angles 127.18, 127.18, 77.95 degrees
Last column: nearest neighbours and their distance in Å.
Fractional coordinates of all 16 atoms:
La  0.0000  0.0000  0.0000  4 Si 3.11
La  0.0130  0.5130  0.7957  3 Si 3.01-3.14
La  0.2173  0.0130  0.5000  3 Si 3.01-3.14
La  0.2827  0.7827  0.7957  3 Si 3.01-3.14
La  0.4870  0.2827  0.5000  3 Si 3.01-3.14
La  0.5000  0.5000  0.0000  4 Si 3.11
La  0.5130  0.7173  0.5000  3 Si 3.01-3.14
La  0.7173  0.2173  0.2043  3 Si 3.01-3.14
La  0.7827  0.9870  0.5000  3 Si 3.01-3.14
La  0.9870  0.4870  0.2043  3 Si 3.01-3.14
Si  0.1533  0.3467  0.5000  8 La 3.01-3.14
Si  0.3467  0.8467  0.1933  8 La 3.01-3.14
Si  0.6533  0.1533  0.8067  8 La 3.01-3.14
Si  0.8467  0.6533  0.5000  8 La 3.01-3.14
I  0.2500  0.2500  0.0000  10 La 3.55-3.59
I  0.7500  0.7500  0.0000  10 La 3.55-3.59

=====

No. 2
VASP calculation (GGA-PBE) on a relaxed La4Si2I3 crystal.

Computed properties:
space group = C2/m (12)
N(E_F) = 3.63 states/eV/cell
size of the total moment = 0.00 Bohr magnetons per cell
energy relative to the lowest polymorph listed for this composition = 0.00 kcal/mol of atoms
formation energy without anion corrections = -1.122 eV/atom
energy = -0.370 Ry per atom

Cell lengths 4.4496, 4.4496, 19.2446 Å; angles 90.05, 90.05, 60.00 degrees
Last column: nearest neighbours and their distance in Å.
Fractional coordinates of all 9 atoms:
La  0.0010  0.0010  0.2897  3 Si 3.08-3.09, 3 I 3.30
La  0.3338  0.3338  0.1206  3 Si 3.00
La  0.6662  0.6662  0.8794  3 Si 3.00
La  0.9990  0.9990  0.7103  3 Si 3.08-3.09, 3 I 3.30
Si  0.3327  0.3327  0.7990  6 La 3.00-3.09
Si  0.6673  0.6673  0.2010  6 La 3.00-3.09
I  0.0000  0.0000  0.0000  6 La 3.46
I  0.3344  0.3344  0.3975  3 La 3.30
I  0.6656  0.6656  0.6025  3 La 3.30

=====

No. 3
VASP calculation (GGA-PBE) on a relaxed La3SiI crystal.

Computed properties:
space group = C2/m (12)
N(E_F) = 11.48 states/eV/cell
size of the total moment = 0.00 Bohr magnetons per cell
energy relative to the lowest polymorph listed for this composition = 0.00 kcal/mol of atoms
formation energy without anion corrections = -0.482 eV/atom
energy = -0.355 Ry per atom

Cell lengths 7.5054, 7.5054, 7.7056 Å; angles 106.73, 106.73, 57.64 degrees
Last column: nearest neighbours and their distance in Å.
Fractional coordinates of all 10 atoms:
La  0.0458  0.0458  0.2468  2 Si 2.98-3.00
La  0.0625  0.5574  0.3006  2 Si 2.97-2.99
La  0.4426  0.9375  0.6994  2 Si 2.97-2.99
La  0.5574  0.0625  0.3006  2 Si 2.97-2.99
La  0.9375  0.4426  0.6994  2 Si 2.97-2.99
La  0.9542  0.9542  0.7532  2 Si 2.98-3.00
Si  0.1819  0.1819  0.0010  6 La 2.97-3.00
Si  0.8181  0.8181  0.9990  6 La 2.97-3.00
I  0.4380  0.4380  0.7008  8 La 3.48-3.77
I  0.5620  0.5620  0.2992  8 La 3.48-3.77

=====

No. 4
VASP calculation (GGA-PBE) on a relaxed LaSi2I crystal.

Computed properties:
space group = I-42d (122)
N(E_F) = 7.93 states/eV/cell
size of the total moment = 0.00 Bohr magnetons per cell
energy relative to the lowest polymorph listed for this composition = 0.00 kcal/mol of atoms
formation energy without anion corrections = 0.278 eV/atom
energy = -0.298 Ry per atom

Cell lengths 6.6646, 6.6646, 6.6646 Å; angles 102.25, 102.25, 125.14 degrees
Last column: nearest neighbours and their distance in Å.
Fractional coordinates of all 8 atoms:
La  0.0000  0.0000  0.0000  4 Si 3.06, 2 I 3.07
La  0.7500  0.2500  0.5000  4 Si 3.06, 2 I 3.07
Si  0.1259  0.1250  0.5009  2 I 3.05, 2 La 3.06, 2 Si 3.07
Si  0.3750  0.8741  0.9991  2 I 3.05, 2 La 3.06, 2 Si 3.07
Si  0.6241  0.6250  0.4991  2 I 3.05, 2 La 3.06, 2 Si 3.07
Si  0.8750  0.3759  0.0009  2 I 3.05, 2 La 3.06, 2 Si 3.07
I  0.2500  0.7500  0.5000  4 Si 3.05, 2 La 3.07
I  0.5000  0.5000  0.0000  4 Si 3.05, 2 La 3.07

=====

No. 5
VASP calculation (GGA-PBE) on a relaxed La3Si2I2 crystal.

Computed properties:
space group = P-1 (2)
N(E_F) = 5.55 states/eV/cell
size of the total moment = 0.00 Bohr magnetons per cell
formation energy without anion corrections = -0.811 eV/atom
energy = -0.361 Ry per atom

Cell lengths 4.3710, 7.3604, 8.4773 Å; angles 80.22, 89.58, 74.93 degrees
Last column: nearest neighbours and their distance in Å.
Fractional coordinates of all 7 atoms:
La  0.0000  0.0000  0.0000  4 Si 3.02-3.06, 2 I 3.37
La  0.2212  0.5342  0.7713  3 Si 2.95-3.03
La  0.7788  0.4658  0.2287  3 Si 2.95-3.03
Si  0.3768  0.2668  0.0784  5 La 2.95-3.06
Si  0.6232  0.7332  0.9216  5 La 2.95-3.06
I  0.1439  0.7541  0.3766  4 La 3.36-3.44
I  0.8561  0.2459  0.6234  4 La 3.36-3.44

=====

No. 6
VASP calculation (GGA-PBE) on a relaxed LaSi3I crystal.

Computed properties:
space group = Pm-3m (221)
N(E_F) = 17.46 states/eV/cell
size of the total moment = 0.00 Bohr magnetons per cell
energy relative to the lowest polymorph listed for this composition = 8.66 kcal/mol of atoms
formation energy without anion corrections = 1.299 eV/atom
energy = -0.239 Ry per atom

Cell lengths 5.6938, 5.6938, 5.6938 Å; angles 90.00, 90.00, 90.00 degrees
Last column: nearest neighbours and their distance in Å.
Fractional coordinates of all 5 atoms:
La  0.0000  0.0000  0.0000  6 Si 2.85
Si  0.0000  0.0000  0.5000  2 La 2.85
Si  0.0000  0.5000  0.0000  2 La 2.85
Si  0.5000  0.0000  0.0000  2 La 2.85
I  0.5000  0.5000  0.5000  12 Si 4.03

=====

No. 7
VASP calculation (GGA-PBE) on a relaxed La5Si5I3 crystal.

Computed properties:
space group = C2/m (12)
N(E_F) = 13.71 states/eV/cell
size of the total moment = 0.00 Bohr magnetons per cell
formation energy without anion corrections = -1.023 eV/atom
energy = -0.394 Ry per atom

Cell lengths 12.3038, 12.3038, 15.8242 Å; angles 110.11, 110.11, 19.98 degrees
Last column: nearest neighbours and their distance in Å.
Fractional coordinates of all 26 atoms:
La  0.0166  0.0166  0.2907  4 Si 3.09-3.11, 3 I 3.37
La  0.0856  0.0856  0.5628  8 Si 3.11-3.19, 1 I 3.38
La  0.1643  0.1643  0.8340  9 Si 3.15-3.28, 1 I 3.38
La  0.2620  0.2620  0.6713  4 Si 3.09-3.10, 3 I 3.41-3.44
La  0.3380  0.3380  0.9420  5 Si 3.03-3.12, 3 I 3.33-3.34
La  0.6620  0.6620  0.0580  5 Si 3.03-3.12, 3 I 3.33-3.34
La  0.7380  0.7380  0.3287  4 Si 3.09-3.10, 3 I 3.41-3.44
La  0.8357  0.8357  0.1660  9 Si 3.15-3.28, 1 I 3.38
La  0.9144  0.9144  0.4372  8 Si 3.11-3.19, 1 I 3.38
La  0.9834  0.9834  0.7093  4 Si 3.09-3.11, 3 I 3.37
Si  0.2411  0.2411  0.1892  2 Si 2.37-2.46
Si  0.2504  0.2504  0.0395  3 Si 2.46-2.47
Si  0.3282  0.3282  0.3188  2 Si 2.37-2.49
Si  0.4240  0.4240  0.2935  2 Si 2.37-2.49
Si  0.4916  0.4916  0.5732  2 Si 2.37-2.49
Si  0.5084  0.5084  0.4268  2 Si 2.37-2.49
Si  0.5760  0.5760  0.7065  2 Si 2.37-2.49
Si  0.6718  0.6718  0.6812  2 Si 2.37-2.49
Si  0.7496  0.7496  0.9605  3 Si 2.46-2.47
Si  0.7589  0.7589  0.8108  2 Si 2.37-2.46
I  0.0611  0.0611  0.9326  4 La 3.33-3.38
I  0.1739  0.1739  0.4380  5 La 3.38-3.71
I  0.4088  0.4088  0.7945  4 La 3.34-3.41
I  0.5912  0.5912  0.2055  4 La 3.34-3.41
I  0.8261  0.8261  0.5620  5 La 3.38-3.71
I  0.9389  0.9389  0.0674  4 La 3.33-3.38

=====

No. 8
VASP calculation (GGA-PBE) on a relaxed La5SiI5 crystal.

Computed properties:
space group = C2/m (12)
N(E_F) = 7.58 states/eV/cell
size of the total moment = 0.00 Bohr magnetons per cell
formation energy without anion corrections = -1.132 eV/atom
energy = -0.336 Ry per atom

Cell lengths 7.6868, 7.6868, 9.3491 Å; angles 107.28, 107.28, 48.76 degrees
Last column: nearest neighbours and their distance in Å.
Fractional coordinates of all 11 atoms:
La  0.0000  0.0000  0.0000  2 Si 3.17, 4 I 3.24-3.34
La  0.3325  0.3325  0.1265  1 Si 2.95, 2 I 3.25
La  0.3502  0.3502  0.7092  1 Si 2.84
La  0.6498  0.6498  0.2908  1 Si 2.84
La  0.6675  0.6675  0.8735  1 Si 2.95, 2 I 3.25
Si  0.5000  0.5000  0.0000  6 La 2.84-3.17
I  0.1463  0.1463  0.7931  5 La 3.20-3.35
I  0.1710  0.1710  0.3459  5 La 3.21-3.51
I  0.5000  0.5000  0.5000  4 La 3.30-3.51
I  0.8290  0.8290  0.6541  5 La 3.21-3.51
I  0.8537  0.8537  0.2069  5 La 3.20-3.35

=====

No. 9
VASP calculation (GGA-PBE) on a relaxed La4Si2I3 crystal.

Computed properties:
space group = C2/c (15)
N(E_F) = 8.30 states/eV/cell
size of the total moment = 0.00 Bohr magnetons per cell
energy relative to the lowest polymorph listed for this composition = 5.80 kcal/mol of atoms
formation energy without anion corrections = -0.871 eV/atom
energy = -0.352 Ry per atom

Cell lengths 10.3182, 10.3182, 6.2257 Å; angles 92.16, 92.16, 77.66 degrees
Last column: nearest neighbours and their distance in Å.
Fractional coordinates of all 18 atoms:
La  0.0589  0.6893  0.9887  2 Si 2.88-2.90
La  0.1996  0.4092  0.5643  3 Si 2.89-3.21
La  0.3107  0.9411  0.5113  2 Si 2.88-2.90
La  0.4092  0.1996  0.0643  3 Si 2.89-3.21
La  0.5908  0.8004  0.9357  3 Si 2.89-3.21
La  0.6893  0.0589  0.4887  2 Si 2.88-2.90
La  0.8004  0.5908  0.4357  3 Si 2.89-3.21
La  0.9411  0.3107  0.0113  2 Si 2.88-2.90
Si  0.1777  0.4148  0.0776  5 La 2.88-3.21
Si  0.4148  0.1777  0.5776  5 La 2.88-3.21
Si  0.5852  0.8223  0.4224  5 La 2.88-3.21
Si  0.8223  0.5852  0.9224  5 La 2.88-3.21
I  0.0093  0.7973  0.4834  3 La 3.26-3.36
I  0.2027  0.9907  0.0166  3 La 3.26-3.36
I  0.3619  0.6381  0.7500  4 La 3.33-3.44
I  0.6381  0.3619  0.2500  4 La 3.33-3.44
I  0.7973  0.0093  0.9834  3 La 3.26-3.36
I  0.9907  0.2027  0.5166  3 La 3.26-3.36

=====

No. 10
VASP calculation (GGA-PBE) on a relaxed LaSi3I crystal.

Computed properties:
space group = Pm-3m (221)
N(E_F) = 5.20 states/eV/cell
size of the total moment = 0.00 Bohr magnetons per cell
energy relative to the lowest polymorph listed for this composition = 0.00 kcal/mol of atoms
formation energy without anion corrections = 0.924 eV/atom
energy = -0.266 Ry per atom

Cell lengths 5.2319, 5.2319, 5.2319 Å; angles 90.00, 90.00, 90.00 degrees
Last column: nearest neighbours and their distance in Å.
Fractional coordinates of all 5 atoms:
La  0.0000  0.0000  0.0000  12 Si 3.70
Si  0.0000  0.5000  0.5000  2 I 2.62
Si  0.5000  0.0000  0.5000  2 I 2.62
Si  0.5000  0.5000  0.0000  2 I 2.62
I  0.5000  0.5000  0.5000  6 Si 2.62

=====

No. 11
VASP calculation (GGA-PBE) on a relaxed La2SiI crystal.

Computed properties:
space group = Pmna (53)
N(E_F) = 9.72 states/eV/cell
size of the total moment = 0.00 Bohr magnetons per cell
energy relative to the lowest polymorph listed for this composition = 2.06 kcal/mol of atoms
formation energy without anion corrections = -0.928 eV/atom
energy = -0.377 Ry per atom

Cell lengths 6.3316, 6.3316, 12.8689 Å; angles 90.00, 90.00, 90.00 degrees
Last column: nearest neighbours and their distance in Å.
Fractional coordinates of all 16 atoms:
La  0.0000  0.2503  0.1074  3 Si 2.99-3.17, 2 I 3.17
La  0.0000  0.2495  0.6425  3 Si 2.99-3.17, 2 I 3.17
La  0.0000  0.7505  0.3575  3 Si 2.99-3.17, 2 I 3.17
La  0.0000  0.7497  0.8926  3 Si 2.99-3.17, 2 I 3.17
La  0.5000  0.2503  0.3926  3 Si 2.99-3.17, 2 I 3.17
La  0.5000  0.2495  0.8575  3 Si 2.99-3.17, 2 I 3.17
La  0.5000  0.7505  0.1425  3 Si 2.99-3.17, 2 I 3.17
La  0.5000  0.7497  0.6074  3 Si 2.99-3.17, 2 I 3.17
Si  0.0000  0.2497  0.8750  6 La 2.99-3.17
Si  0.0000  0.7503  0.1250  6 La 2.99-3.17
Si  0.5000  0.2497  0.6250  6 La 2.99-3.17
Si  0.5000  0.7503  0.3750  6 La 2.99-3.17
I  0.0000  0.2505  0.3750  6 La 3.17-3.44
I  0.0000  0.7495  0.6250  6 La 3.17-3.44
I  0.5000  0.2505  0.1250  6 La 3.17-3.44
I  0.5000  0.7495  0.8750  6 La 3.17-3.44

=====

No. 12
VASP calculation (GGA-PBE) on a relaxed LaSmSiI crystal.

Computed properties:
space group = R3m (160)
N(E_F) = 2.73 states/eV/cell
size of the total moment = 0.00 Bohr magnetons per cell
formation energy without anion corrections = -0.960 eV/atom
energy = -0.376 Ry per atom

Cell lengths 8.2918, 8.2918, 8.2918 Å; angles 30.05, 30.05, 30.05 degrees
Last column: nearest neighbours and their distance in Å.
Fractional coordinates of all 4 atoms:
La  0.0000  0.0000  0.0000  3 Si 2.98
Sm  0.7983  0.7983  0.7983  3 Si 2.89
Si  0.4025  0.4025  0.4025  3 Sm 2.89, 3 La 2.98
I  0.2279  0.2279  0.2279  3 Sm 3.37, 3 La 3.52